TiTlGaC2 | GGA-PBE | relaxed

Cell and atoms, written as CIF:
```
data_TiTlGaC2
_symmetry_space_group_name_H-M 'P 4/m m m'
_symmetry_Int_Tables_number 123
_symmetry_space_group_name_Hall '-P 4 2'
_cell_length_a 4.116
_cell_length_b 4.116
_cell_length_c 5.571
_cell_angle_alpha 90.00
_cell_angle_beta 90.00
_cell_angle_gamma 90.00
loop_
_atom_site_label
_atom_site_type_symbol
_atom_site_fract_x
_atom_site_fract_y
_atom_site_fract_z
_atom_site_occupancy
Ti1 Ti 0.000 0.000 0.000 1
Tl1 Tl 0.000 0.000 0.500 1
Ga1 Ga 0.500 0.500 0.500 1
C1 C 0.000 0.500 0.000 1
```

Calculated values
final energy = -4.9722 eV/atom
DFT formation energy = 1.375 eV/atom
total magnetization = 0.000 μB per atom

TiV2GaC | GGA-PBE | relaxed

Cell and atoms, written as CIF:
```
data_TiV2GaC
_symmetry_space_group_name_H-M 'P 4/m m m'
_symmetry_Int_Tables_number 123
_symmetry_space_group_name_Hall '-P 4 2'
_cell_length_a 3.954
_cell_length_b 3.954
_cell_length_c 4.228
_cell_angle_alpha 90.00
_cell_angle_beta 90.00
_cell_angle_gamma 90.00
loop_
_atom_site_label
_atom_site_type_symbol
_atom_site_fract_x
_atom_site_fract_y
_atom_site_fract_z
_atom_site_occupancy
Ti1 Ti 0.000 0.000 0.000 1
V1 V 0.000 0.500 0.500 1
Ga1 Ga 0.500 0.500 0.000 1
C1 C 0.000 0.000 0.500 1
```

Calculated values
final energy = -8.0601 eV/atom
DFT formation energy = -0.384 eV/atom
total magnetization = 0.000 μB per atom